# Ca2PaIrO8, optimized geometry, DFT PBE
# Energy relative to the elements, uncorrected = -2.255 eV/atom
# Fermi-level density of states = 5.891 states/eV/f.u.
data_Ca2PaIrO8
_symmetry_space_group_name_H-M 'C m m m'
_symmetry_Int_Tables_number 65
_symmetry_space_group_name_Hall '-C 2 2'
_cell_length_a 7.079
_cell_length_b 7.320
_cell_length_c 6.762
_cell_angle_alpha 90.00
_cell_angle_beta 90.00
_cell_angle_gamma 90.00
loop_
_atom_site_label
_atom_site_type_symbol
_atom_site_fract_x
_atom_site_fract_y
_atom_site_fract_z
_atom_site_occupancy
Ca1 Ca 0.000 0.000 0.244 1
Pa1 Pa 0.000 0.500 0.500 1
Ir1 Ir 0.000 0.500 0.000 1
O1 O 0.000 0.323 0.219 1
O2 O 0.214 0.000 0.500 1
O3 O 0.238 0.000 0.000 1